1.
## Zr4GaN2 (PBE)

Data for a relaxed structure of Zr4GaN2.

As for the uncorrected formation energy: -1210.4 meV per atom.

POSCAR file:
```
Zr4GaN2
1.0
1.704 -5.603 0.000
1.704 5.603 0.000
0.000 0.000 11.669
Zr Ga N
8 2 4
Direct
0.000 0.000 0.000
0.000 0.000 0.500
0.261 0.739 0.605
0.261 0.739 0.895
0.421 0.579 0.250
0.579 0.421 0.750
0.739 0.261 0.105
0.739 0.261 0.395
0.110 0.890 0.250
0.890 0.110 0.750
0.367 0.633 0.062
0.367 0.633 0.438
0.633 0.367 0.562
0.633 0.367 0.938
```

---

2.
## NdPuCd2 (PBE)

Data for a relaxed structure of NdPuCd2.

The value obtained for the energy of formation from the pure elements is -0.130 eV per atom.

POSCAR file:
```
NdPuCd2
1.0
5.352 0.000 0.000
0.000 5.352 0.000
0.000 0.000 3.897
Nd Pu Cd
1 1 2
Direct
0.000 0.000 0.000
0.500 0.500 0.000
0.000 0.500 0.500
0.500 0.000 0.500
```

---

3.
## PrY7Er12 (PBE)

Data for a relaxed structure of PrY7Er12.

The value obtained for the energy of formation from the pure elements is 0.733 eV per atom.

POSCAR file:
```
PrY7Er12
1.0
-5.610 5.610 5.610
5.610 -5.610 5.610
5.610 5.610 -5.610
Pr Y Er
1 7 12
Direct
0.000 0.000 0.000
0.000 0.000 0.500
0.000 0.500 0.000
0.000 0.500 0.500
0.500 0.000 0.000
0.500 0.000 0.500
0.500 0.500 0.000
0.500 0.500 0.500
0.000 0.256 0.744
0.000 0.744 0.256
0.256 0.000 0.744
0.256 0.256 0.511
0.256 0.511 0.256
0.256 0.744 0.000
0.489 0.744 0.744
0.511 0.256 0.256
0.744 0.000 0.256
0.744 0.256 0.000
0.744 0.489 0.744
0.744 0.744 0.489
```

---

4.
## Ba2SrCa (PBE)

Data for a relaxed structure of Ba2SrCa.

The value obtained for the energy of formation from the pure elements is 0.036 eV per atom.

POSCAR file:
```
Ba2SrCa
1.0
4.261 0.000 0.000
-2.131 3.691 0.000
0.000 0.000 42.189
Ba Sr Ca
6 3 3
Direct
0.000 0.000 0.000
0.000 0.000 0.172
0.333 0.667 0.667
0.333 0.667 0.839
0.667 0.333 0.333
0.667 0.333 0.506
0.000 0.000 0.420
0.333 0.667 0.086
0.667 0.333 0.753
0.000 0.000 0.586
0.333 0.667 0.253
0.667 0.333 0.919
```

---

5.
## InGaSe (PBE)

Data for a relaxed structure of InGaSe.

As for the uncorrected formation energy: -271.5 meV per atom.

POSCAR file:
```
InGaSe
1.0
4.101 0.000 0.000
-2.050 3.551 0.000
0.000 0.000 5.259
In Ga Se
1 1 1
Direct
0.000 0.000 0.000
0.333 0.667 0.625
0.667 0.333 0.349
```

---

6.
## K2NaCd2 (PBE)

Data for a relaxed structure of K2NaCd2.

The value obtained for the energy of formation from the pure elements is 0.036 eV per atom.

POSCAR file:
```
K2NaCd2
1.0
10.445 0.000 0.000
0.000 10.445 0.000
0.000 0.000 3.702
K Na Cd
4 2 4
Direct
0.187 0.313 0.000
0.313 0.813 0.000
0.687 0.187 0.000
0.813 0.687 0.000
0.000 0.000 0.000
0.500 0.500 0.000
0.102 0.602 0.500
0.398 0.102 0.500
0.602 0.898 0.500
0.898 0.398 0.500
```

---

7.
## Tb2YPb (PBE)

Data for a relaxed structure of Tb2YPb.

The value obtained for the energy of formation from the pure elements is -0.211 eV per atom.

POSCAR file:
```
Tb2YPb
1.0
3.621 0.000 0.000
0.000 3.621 0.000
0.000 0.000 9.423
Tb Y Pb
2 1 1
Direct
0.000 0.000 0.234
0.000 0.000 0.766
0.500 0.500 0.500
0.500 0.500 0.000
```

---

8.
## Mn2InW (PBE)

Data for a relaxed structure of Mn2InW.

The value obtained for the energy of formation from the pure elements is 0.334 eV per atom.

POSCAR file:
```
Mn2InW
1.0
5.813 0.000 0.000
0.000 7.028 0.000
0.000 0.000 2.935
Mn In W
4 2 2
Direct
0.250 0.250 0.000
0.250 0.750 0.000
0.750 0.250 0.000
0.750 0.750 0.000
0.000 0.000 0.500
0.500 0.500 0.500
0.000 0.500 0.500
0.500 0.000 0.500
```

---

9.
## NiSbW (PBE)

Data for a relaxed structure of NiSbW.

As for the uncorrected formation energy: 453.6 meV per atom.

POSCAR file:
```
NiSbW
1.0
11.966 0.000 0.000
0.000 3.698 0.000
0.000 0.000 4.638
Ni Sb W
4 4 4
Direct
0.000 0.000 0.000
0.000 0.500 0.500
0.500 0.000 0.067
0.500 0.500 0.567
0.166 0.000 0.320
0.166 0.500 0.820
0.834 0.000 0.320
0.834 0.500 0.820
0.362 0.000 0.613
0.362 0.500 0.113
0.638 0.000 0.613
0.638 0.500 0.113
```

---

10.
## La3Pr4ThTe8 (PBE)

Data for a relaxed structure of La3Pr4ThTe8.

As for the uncorrected formation energy: -1440.6 meV per atom.

POSCAR file:
```
La3Pr4ThTe8
1.0
7.824 -4.561 0.000
7.824 4.561 0.000
-5.166 0.000 7.426
La Pr Th Te
3 4 1 8
Direct
0.000 0.000 0.000
0.000 0.500 0.500
0.500 0.000 0.500
0.000 0.000 0.500
0.000 0.500 0.000
0.500 0.000 0.000
0.500 0.500 0.500
0.500 0.500 0.000
0.251 0.251 0.249
0.251 0.251 0.753
0.251 0.747 0.249
0.253 0.749 0.751
0.747 0.251 0.249
0.749 0.253 0.751
0.749 0.749 0.247
0.749 0.749 0.751
```

---

11.
## Pr2HoTm3 (PBE)

Data for a relaxed structure of Pr2HoTm3.

The value obtained for the energy of formation from the pure elements is 0.126 eV per atom.

POSCAR file:
```
Pr2HoTm3
1.0
8.887 -1.747 0.000
8.887 1.747 0.000
-6.505 0.000 12.638
Pr Ho Tm
4 2 6
Direct
0.155 0.155 0.468
0.319 0.319 0.121
0.681 0.681 0.879
0.845 0.845 0.532
0.063 0.063 0.642
0.937 0.937 0.358
0.098 0.098 0.026
0.237 0.237 0.292
0.461 0.461 0.793
0.539 0.539 0.207
0.763 0.763 0.708
0.902 0.902 0.974
```

---

12.
## BeSi2Br (PBE)

Data for a relaxed structure of BeSi2Br.

As for the uncorrected formation energy: 635.4 meV per atom.

POSCAR file:
```
BeSi2Br
1.0
2.907 0.000 0.000
0.000 4.403 0.000
0.000 0.000 10.512
Be Si Br
2 4 2
Direct
0.000 0.000 0.000
0.500 0.500 0.500
0.000 0.500 0.305
0.000 0.500 0.695
0.500 0.000 0.195
0.500 0.000 0.805
0.000 0.000 0.500
0.500 0.500 0.000
```

---

Number 1: theoretical density 6.9 g cm⁻³, DOS at the Fermi energy 6.4 states/eV/cell. Number 2: theoretical density 9.1 g cm⁻³, DOS at the Fermi energy 9.6 states/eV/cell. Number 3: theoretical density 6.5 g cm⁻³, DOS at the Fermi energy 27.7 states/eV/cell. Number 4: theoretical density 3.0 g cm⁻³, DOS at the Fermi energy 16.1 states/eV/cell. Number 5: theoretical density 5.7 g cm⁻³, DOS at the Fermi energy 0.9 states/eV/cell. Number 6: theoretical density 2.7 g cm⁻³, DOS at the Fermi energy 3.9 states/eV/cell. Number 7: theoretical density 8.3 g cm⁻³, DOS at the Fermi energy 4.4 states/eV/cell. Number 8: theoretical density 11.3 g cm⁻³, DOS at the Fermi energy 6.3 states/eV/cell. Number 9: theoretical density 11.8 g cm⁻³, DOS at the Fermi energy 10.2 states/eV/cell. Number 10: theoretical density 7.0 g cm⁻³, DOS at the Fermi energy 13.8 states/eV/cell. Number 11: theoretical density 8.1 g cm⁻³, DOS at the Fermi energy 19.2 states/eV/cell. Number 12: theoretical density 3.6 g cm⁻³, DOS at the Fermi energy 3.5 states/eV/cell.